Here is an optimized crystal structure of LiZnRh2O6 from the Alexandria database. Energies are from GGA-PBE.

The volume is 11.8 Å³ per atom. For the density, the calculation gives 5287 kg/m3. The uncorrected formation energy is -0.364 eV per atom. The total energy is -5.128 eV per atom.

The structure belongs to space group P4mm (No. 99); the cell edges are 4.807, 4.807 and 5.085 Å and the angles 90.00°, 90.00° and 90.00°. Symmetry generates all atoms from Li at (0.000, 0.000, 0.000), Zn at (0.500, 0.500, 0.984), Rh at (0.000, 0.500, 0.410), O at (0.000, 0.000, 0.619), O at (0.249, 0.249, 0.208) and O at (0.500, 0.500, 0.616).



Here is an optimized crystal structure of Li2ZnRhO4 from the Alexandria database. Energies are from GGA-PBE.

The volume is 9.7 Å³ per atom. For the density, the calculation gives 5276 kg/m3. The uncorrected formation energy is -1.359 eV per atom. The total energy is -5.395 eV per atom.

The structure belongs to space group P2/m (No. 10); the cell edges are 5.156, 3.038 and 5.287 Å and the angles 90.00°, 110.70° and 90.00°. Symmetry generates all atoms from Li at (0.000, 0.000, 0.000), Li at (0.000, 0.500, 0.500), Zn at (0.500, 0.000, 0.500), Rh at (0.500, 0.500, 0.000), O at (0.261, 0.000, 0.769) and O at (0.274, 0.500, 0.244).



Here is an optimized crystal structure of LiZnRh2O4 from the Alexandria database. Energies are from GGA-PBE.

The volume is 10.5 Å³ per atom. For the density, the calculation gives 6775 kg/m3. The uncorrected formation energy is -0.858 eV per atom. The total energy is -5.574 eV per atom.

The structure belongs to space group P2/m (No. 10); the cell edges are 5.234, 3.131 and 5.450 Å and the angles 90.00°, 110.14° and 90.00°. Symmetry generates all atoms from Li at (0.000, 0.000, 0.000), Zn at (0.000, 0.500, 0.500), Rh at (0.500, 0.000, 0.500), Rh at (0.500, 0.500, 0.000), O at (0.252, 0.000, 0.733) and O at (0.278, 0.500, 0.264).



Here is an optimized crystal structure of LiZrRhO4 from the Alexandria database. Energies are from GGA-PBE.

The volume is 12.1 Å³ per atom. For the density, the calculation gives 5200 kg/m3. The uncorrected formation energy is -2.080 eV per atom. The total energy is -7.458 eV per atom.

The structure belongs to space group Imma (No. 74); the cell edges are 6.249, 6.460 and 8.387 Å and the angles 90.00°, 90.00° and 90.00°. Symmetry generates all atoms from Li at (0.000, 0.250, 0.114), Zr at (0.000, 0.000, 0.500), Rh at (0.250, 0.250, 0.750), O at (0.000, 0.033, 0.754) and O at (0.223, 0.250, 0.499).



Here is an optimized crystal structure of Li3RuO4 from the Alexandria database. Energies are from GGA-PBE.

The volume is 9.3 Å³ per atom. For the density, the calculation gives 4167 kg/m3. For the distance to the lowest polymorph of the same formula, the calculation gives 0 meV/atom. The uncorrected formation energy is -1.586 eV per atom. The total energy is -5.942 eV per atom.

The structure belongs to space group P2/c (No. 13); the cell edges are 5.177, 5.939 and 5.130 Å and the angles 90.00°, 110.05° and 90.00°. Symmetry generates all atoms from Li at (0.000, 0.109, 0.250), Li at (0.000, 0.368, 0.750), Li at (0.500, 0.121, 0.750), Ru at (0.500, 0.357, 0.250), O at (0.258, 0.139, 0.018) and O at (0.273, 0.387, 0.495).



Here is an optimized crystal structure of LiRu2O2 from the Alexandria database. Energies are from GGA-PBE.

The volume is 12.3 Å³ per atom. For the density, the calculation gives 6507 kg/m3. For the distance to the lowest polymorph of the same formula, the calculation gives 0 meV/atom. The uncorrected formation energy is -0.076 eV per atom. The total energy is -6.153 eV per atom.

The structure belongs to space group I4/mmm (No. 139); the cell edges are 3.703, 3.703 and 8.973 Å and the angles 90.00°, 90.00° and 90.00°. Symmetry generates all atoms from Li at (0.000, 0.000, 0.000), Ru at (0.000, 0.000, 0.376) and O at (0.000, 0.500, 0.250).



Here is an optimized crystal structure of Li5RuO4 from the Alexandria database. Energies are from GGA-PBE.

The volume is 9.4 Å³ per atom. For the density, the calculation gives 3530 kg/m3. The uncorrected formation energy is -1.443 eV per atom. The total energy is -5.311 eV per atom.

The structure belongs to space group Immm (No. 71); the cell edges are 2.844, 6.647 and 9.943 Å and the angles 90.00°, 90.00° and 90.00°. Symmetry generates all atoms from Li at (0.000, 0.000, 0.000), Li at (0.000, 0.272, 0.154), Ru at (0.000, 0.000, 0.500), O at (0.000, 0.000, 0.296) and O at (0.000, 0.295, 0.500).



Here is an optimized crystal structure of Li2RuO3 from the Alexandria database. Energies are from GGA-PBE.

The volume is 9.0 Å³ per atom. For the density, the calculation gives 4992 kg/m3. For the distance to the lowest polymorph of the same formula, the calculation gives 11 meV/atom. The uncorrected formation energy is -1.493 eV per atom. The total energy is -6.156 eV per atom.

The structure belongs to space group Immm (No. 71); the cell edges are 2.988, 3.869 and 9.376 Å and the angles 90.00°, 90.00° and 90.00°. Symmetry generates all atoms from Li at (0.000, 0.000, 0.185), Ru at (0.000, 0.000, 0.500), O at (0.000, 0.500, 0.154) and O at (0.000, 0.500, 0.500).



Here is an optimized crystal structure of Li3Ru2O6 from the Alexandria database. Energies are from GGA-PBE.

The volume is 8.6 Å³ per atom. For the density, the calculation gives 5630 kg/m3. The uncorrected formation energy is -1.051 eV per atom. The total energy is -5.964 eV per atom.

The structure belongs to space group C2/c (No. 15); the cell edges are 6.161, 10.649 and 6.116 Å and the angles 90.00°, 110.33° and 90.00°. Symmetry generates all atoms from Li at (0.000, 0.105, 0.250), Li at (0.000, 0.246, 0.750), Li at (0.250, 0.250, 0.500), Ru at (0.240, 0.417, 0.001), O at (0.118, 0.422, 0.629), O at (0.121, 0.075, 0.631) and O at (0.135, 0.244, 0.115).



Here is an optimized crystal structure of Li3RuO from the Alexandria database. Energies are from GGA-PBE.

The volume is 11.6 Å³ per atom. For the density, the calculation gives 3962 kg/m3. For the distance to the lowest polymorph of the same formula, the calculation gives 0 meV/atom. The uncorrected formation energy is -0.271 eV per atom. The total energy is -4.266 eV per atom.

The structure belongs to space group Pm-3m (No. 221); the cell edges are 3.866, 3.866 and 3.866 Å and the angles 90.00°, 90.00° and 90.00°. Symmetry generates all atoms from Li at (0.000, 0.000, 0.500), Ru at (0.500, 0.500, 0.500) and O at (0.000, 0.000, 0.000).



Here is an optimized crystal structure of LiRu2O2 from the Alexandria database. Energies are from GGA-PBE.

The volume is 13.6 Å³ per atom. For the density, the calculation gives 5899 kg/m3. For the distance to the lowest polymorph of the same formula, the calculation gives 197 meV/atom. The uncorrected formation energy is 0.120 eV per atom. The total energy is -5.956 eV per atom.

The structure belongs to space group P4/mbm (No. 127); the cell edges are 7.047, 7.047 and 2.734 Å and the angles 90.00°, 90.00° and 90.00°. Symmetry generates all atoms from Li at (0.000, 0.000, 0.000), Ru at (0.119, 0.381, 0.000) and O at (0.238, 0.738, 0.500).



Here is an optimized crystal structure of Li5RuO6 from the Alexandria database. Energies are from GGA-PBE.

The volume is 8.8 Å³ per atom. For the density, the calculation gives 3635 kg/m3. The uncorrected formation energy is -1.562 eV per atom. The total energy is -5.612 eV per atom.

The structure belongs to space group C2/m (No. 12); the cell edges are 5.080, 8.793 and 5.043 Å and the angles 90.00°, 109.94° and 90.00°. Symmetry generates all atoms from Li at (0.000, 0.000, 0.000), Li at (0.000, 0.167, 0.500), Li at (0.000, 0.323, 0.000), Ru at (0.000, 0.500, 0.500), O at (0.229, 0.500, 0.269) and O at (0.234, 0.345, 0.736).